[1]
VASP calculation (PBE) on a relaxed structure of Y2BeVAg.

Summary:
- Space group: No. 123

a b c (Å): 5.130 5.130 4.425
angles (deg): 90.00 90.00 90.00
Positions (direct):
1 Y 0.000 0.500 0.000
2 Y 0.500 0.000 0.000
3 Be 0.000 0.000 0.500
4 V 0.000 0.000 0.000
5 Ag 0.500 0.500 0.500

[2]
VASP calculation (PBE) on a relaxed structure of La12PmNd3.

Summary:
- Space group: No. 123

a b c (Å): 5.246 5.246 20.994
angles (deg): 90.00 90.00 90.00
Positions (direct):
1 La 0.000 0.000 0.000
2 La 0.000 0.000 0.250
3 La 0.000 0.000 0.500
4 La 0.000 0.000 0.750
5 La 0.000 0.500 0.125
6 La 0.000 0.500 0.375
7 La 0.000 0.500 0.625
8 La 0.000 0.500 0.875
9 La 0.500 0.000 0.125
10 La 0.500 0.000 0.375
11 La 0.500 0.000 0.625
12 La 0.500 0.000 0.875
13 Pm 0.500 0.500 0.000
14 Nd 0.500 0.500 0.250
15 Nd 0.500 0.500 0.500
16 Nd 0.500 0.500 0.750

The following final energy values (in eV per atom) correspond, in order, to the records above: -5.063; -4.881.
The following formation energy from the elements values (in meV per atom) correspond, in order, to the records above: 662; 5.